Material: TaHg2Rh
Method: DFT, GGA-PBE
State: optimized geometry

Results
Energy relative to the lowest polymorph listed for this composition   320 meV/atom
Total magnetization   0.00 μB per atom
Density   15.65 Mg/m³

Lattice parameters (Å, degrees): 3.010 3.010 8.020 90.00 90.00 90.00
Space group P4/mmm (No. 123)
One atom of each set of equivalent atoms:
Ta1 0.000 0.000 0.000 (multiplicity 1)
Hg1 0.500 0.500 0.265 (multiplicity 2)
Rh1 0.000 0.000 0.500 (multiplicity 1)